Entry 1:
# SrHoNi

A relaxed SrHoNi crystal (PBE, OQMD via LeMat-Bulk).

Output
Final energy, eV for the cell shown: -38.6

Unit cell a=6.8925 b=6.8925 c=6.8925 alpha=90.00 beta=90.00 gamma=90.00
Closest atoms and distances in Å follow each position.
Space group F-43m (No. 216)
Symmetry-distinct sites (fractional):
Sr 0.0000 0.0000 0.0000 x4  4 Ho 2.98
Ho 0.2500 0.2500 0.2500 x4  4 Ni 2.98, 4 Sr 2.98
Ni 0.0000 0.0000 0.5000 x4  4 Ho 2.98

---

Entry 2:
# HoTaNi

A relaxed HoTaNi crystal (PBE, OQMD via LeMat-Bulk).

Output
Formation energy from the elements, eV/atom: 0.360
Distance to the lowest polymorph of the same formula, meV per atom: 0.0

Unit cell a=6.2905 b=6.2905 c=6.2905 alpha=90.00 beta=90.00 gamma=90.00
Closest atoms and distances in Å follow each position.
Space group F-43m (No. 216)
Symmetry-distinct sites (fractional):
Ho 0.0000 0.0000 0.0000 x4  4 Ni 2.72
Ta 0.0000 0.0000 0.5000 x4  4 Ni 2.72
Ni 0.2500 0.2500 0.2500 x4  4 Ta 2.72, 4 Ho 2.72

---

Entry 3:
# HoTaNi

A relaxed HoTaNi crystal (PBE, OQMD via LeMat-Bulk).

Output
Formation energy from the elements, eV/atom: 1.404
Distance to the lowest polymorph of the same formula, meV per atom: 1044.3

Unit cell a=6.3804 b=6.3804 c=6.3804 alpha=90.00 beta=90.00 gamma=90.00
Closest atoms and distances in Å follow each position.
Space group F-43m (No. 216)
Symmetry-distinct sites (fractional):
Ho 0.0000 0.0000 0.0000 x4  4 Ni 2.76, 4 Ta 2.76
Ta 0.2500 0.2500 0.2500 x4  4 Ho 2.76
Ni 0.2500 0.2500 0.7500 x4  4 Ho 2.76

---

Entry 4:
# TbHoNi4

A relaxed TbHoNi4 crystal (PBE, OQMD via LeMat-Bulk).

Output
Formation energy from the elements, eV/atom: -0.040
Distance to the lowest polymorph of the same formula, meV per atom: 411.4

Unit cell a=5.3606 b=5.3606 c=8.0132 alpha=90.00 beta=90.00 gamma=120.00
Closest atoms and distances in Å follow each position.
Space group P6/mmm (No. 191)
Symmetry-distinct sites (fractional):
Tb 0.0000 0.0000 0.0000 x1  6 Ho 3.09, 12 Ni 3.45
Tb 0.0000 0.0000 0.5000 x1  18 Ni 3.09-3.25
Ho 0.3333 0.6667 0.0000 x2  6 Ni 2.67
Ni 0.0000 0.5000 0.2716 x6  6 Ni 2.40-2.68, 2 Ho 2.67
Ni 0.3333 0.6667 0.5000 x2  6 Ni 2.40

---

Entry 5:
# Tb2Ho2Ni

A relaxed Tb2Ho2Ni crystal (PBE, OQMD via LeMat-Bulk).

Output
Formation energy from the elements, eV/atom: 0.025

Unit cell a=5.2799 b=5.2799 c=10.7463 alpha=90.00 beta=90.00 gamma=120.00
Closest atoms and distances in Å follow each position.
Space group P6_3/mmc (No. 194)
Symmetry-distinct sites (fractional):
Tb 0.3333 0.6667 0.0964 x4  6 Ho 3.22-3.47, 1 Tb 3.30, 3 Ni 3.47
Ho 0.0000 0.0000 0.0000 x2  2 Ni 2.69
Ho 0.3333 0.6667 0.7500 x2  3 Ni 3.05
Ni 0.0000 0.0000 0.2500 x2  2 Ho 2.69

---

Entry 6:
# TbHoNi4

A relaxed TbHoNi4 crystal (PBE, OQMD via LeMat-Bulk).

Output
Formation energy from the elements, eV/atom: -0.040
Distance to the lowest polymorph of the same formula, meV per atom: 411.4

Unit cell a=5.3564 b=5.3564 c=8.0203 alpha=90.00 beta=90.00 gamma=120.00
Closest atoms and distances in Å follow each position.
Space group P6/mmm (No. 191)
Symmetry-distinct sites (fractional):
Tb 0.0000 0.0000 0.0000 x1  6 Ho 3.09, 12 Ni 3.45
Tb 0.0000 0.0000 0.5000 x1  18 Ni 3.09-3.24
Ho 0.3333 0.6667 0.0000 x2  6 Ni 2.67
Ni 0.0000 0.5000 0.2719 x6  6 Ni 2.40-2.68, 2 Ho 2.67
Ni 0.3333 0.6667 0.5000 x2  6 Ni 2.40